Record 1
Entry from the Alexandria database: an optimized crystal structure of LaZn2Co2Si (PBE).

a = 4.267 Å, b = 4.267 Å, c = 5.816 Å
α = 90.00°, β = 90.00°, γ = 90.00°
Positions (direct):
La: 0.000 0.000 0.000
Zn: 0.500 0.500 0.246
Zn: 0.500 0.500 0.754
Co: 0.000 0.500 0.500
Co: 0.500 0.000 0.500
Si: 0.000 0.000 0.500

Results
raw formation energy	-0.22	eV/atom
mass density	6.5	g/cm3
SG	No. 123

Record 2
Entry from the Alexandria database: an optimized crystal structure of BaSbRu2 (PBE).

a = 5.055 Å, b = 5.055 Å, c = 5.055 Å
α = 60.00°, β = 60.00°, γ = 60.00°
Positions (direct):
Ba: 0.000 0.000 0.000
Sb: 0.250 0.250 0.250
Ru: 0.500 0.500 0.500
Ru: 0.750 0.750 0.750

Results
raw formation energy	0.83	eV/atom
mass density	8.4	g/cm3
SG	No. 216

Record 3
Entry from the Alexandria database: an optimized crystal structure of VPdC3 (PBE).

a = 3.984 Å, b = 3.984 Å, c = 3.984 Å
α = 90.00°, β = 90.00°, γ = 90.00°
Positions (direct):
V: 0.000 0.000 0.000
Pd: 0.500 0.500 0.500
C: 0.000 0.500 0.500
C: 0.500 0.000 0.500
C: 0.500 0.500 0.000

Results
mass density	5.1	g/cm3
E above lowest polymorph	366	kJ/mol of formula units
SG	No. 221

Number 1: total DFT energy (no corrections) -4.74 eV/atom. Number 2: total DFT energy (no corrections) -5.32 eV/atom. Number 3: total DFT energy (no corrections) -5.78 eV/atom.